A plane-wave DFT calculation with GGA-PBE was carried out for an optimized crystal structure of V3FePd6.

Unit cell a=7.4650 b=16.3756 c=2.7080 alpha=90.00 beta=90.00 gamma=90.00
Space group Cmmm (No. 65)
One atom of each set of equivalent atoms:
V 0.0000 0.0000 0.0000
V 0.2500 0.2500 0.5000
Fe 0.0000 0.5000 0.0000
Pd 0.0000 0.3547 0.5000
Pd 0.1933 0.1138 0.0000

E_form (kcal/mol of atoms): 6.98